[1]
A relaxed Ac6PIr2I3 crystal, computed with PBE-GGA.

POSCAR file:
```
Ac6PIr2I3
1.0
3.8615 -6.6879 0.0000
3.8615 6.6879 0.0000
-2.5551 0.0000 8.5528
Ac P Ir I
6 1 2 3
Direct
0.0935 0.4382 0.8144
0.2170 0.2170 0.1858
0.4382 0.0935 0.8144
0.5618 0.9065 0.1856
0.7830 0.7830 0.8142
0.9065 0.5618 0.1856
0.5000 0.5000 0.0000
0.1667 0.8333 0.0000
0.8333 0.1667 0.0000
0.0000 0.0000 0.5000
0.3348 0.6652 0.5000
0.6652 0.3348 0.5000
```

Energy relative to the elements, uncorrected (eV per atom): -1.12
Magnetic moment (μB/atom): 0.000
V (Å³/atom): 36.81

---

[2]
A relaxed Sc2NO crystal, computed with PBE-GGA.

POSCAR file:
```
Sc2NO
1.0
0.0000 2.7712 2.7712
2.7712 0.0000 2.7712
2.7712 2.7712 0.0000
Sc N O
2 1 1
Direct
0.2500 0.2500 0.2500
0.7500 0.7500 0.7500
0.0000 0.0000 0.0000
0.5000 0.5000 0.5000
```

Energy relative to the elements, uncorrected (eV per atom): -1.70
Magnetic moment (μB/atom): 0.000
V (Å³/atom): 10.64
Polymorph energy (0 for the lowest one) (meV per atom): 814

---

[3]
A relaxed TbEr3Pb2C crystal, computed with PBE-GGA.

POSCAR file:
```
TbEr3Pb2C
1.0
-2.3938 2.4209 7.9855
2.3938 -2.4209 7.9855
2.3938 2.4209 -7.9855
Tb Er Pb C
1 3 2 1
Direct
0.0000 0.0000 0.0000
0.3436 0.8436 0.5000
0.5000 0.5000 0.0000
0.6564 0.1564 0.5000
0.1432 0.6432 0.5000
0.8568 0.3568 0.5000
0.5000 0.0000 0.5000
```

Final energy (eV/atom): -5.528
Magnetic moment (μB/atom): 0.000
V (Å³/atom): 26.44

---

[4]
A relaxed Cd2SeIN crystal, computed with PBE-GGA.

POSCAR file:
```
Cd2SeIN
1.0
5.7319 0.0000 0.0000
0.0000 5.7319 0.0000
0.0000 0.0000 3.8255
Cd Se I N
2 1 1 1
Direct
0.0000 0.5000 0.0000
0.5000 0.0000 0.0000
0.0000 0.0000 0.0000
0.5000 0.5000 0.5000
0.0000 0.0000 0.5000
```

Energy relative to the elements, uncorrected (eV per atom): 0.57
Magnetic moment (μB/atom): 0.000
V (Å³/atom): 25.14

---

[5]
A relaxed K2CdIn6Ga crystal, computed with PBE-GGA.

POSCAR file:
```
K2CdIn6Ga
1.0
3.6875 2.1290 13.9852
-3.6875 2.1290 13.9852
0.0000 -4.2580 13.9852
K Cd In Ga
4 2 12 2
Direct
0.1408 0.1408 0.1408
0.3118 0.3118 0.3118
0.6882 0.6882 0.6882
0.8592 0.8592 0.8592
0.0000 0.0000 0.0000
0.5000 0.5000 0.5000
0.0756 0.6377 0.6377
0.1940 0.1940 0.7883
0.1940 0.7883 0.1940
0.2117 0.8060 0.8060
0.3623 0.3623 0.9244
0.3623 0.9244 0.3623
0.6377 0.0756 0.6377
0.6377 0.6377 0.0756
0.7883 0.1940 0.1940
0.8060 0.2117 0.8060
0.8060 0.8060 0.2117
0.9244 0.3623 0.3623
0.4116 0.4116 0.4116
0.5884 0.5884 0.5884
```

Final energy (eV/atom): -2.255
Magnetic moment (μB/atom): 0.000
V (Å³/atom): 32.94

---

[6]
A relaxed Nd7FeI12 crystal, computed with PBE-GGA.

POSCAR file:
```
Nd7FeI12
1.0
8.0327 4.6377 3.7487
-8.0327 4.6377 3.7487
0.0000 -9.2754 3.7487
Nd Fe I
7 1 12
Direct
0.0000 0.0000 0.0000
0.2061 0.4050 0.4780
0.4050 0.4780 0.2061
0.4780 0.2061 0.4050
0.5220 0.7939 0.5950
0.5950 0.5220 0.7939
0.7939 0.5950 0.5220
0.5000 0.5000 0.5000
0.0364 0.3413 0.1161
0.1161 0.0364 0.3413
0.1799 0.7257 0.5727
0.2743 0.4273 0.8201
0.3413 0.1161 0.0364
0.4273 0.8201 0.2743
0.5727 0.1799 0.7257
0.6587 0.8839 0.9636
0.7257 0.5727 0.1799
0.8201 0.2743 0.4273
0.8839 0.9636 0.6587
0.9636 0.6587 0.8839
```

Energy relative to the elements, uncorrected (eV per atom): -1.20
Magnetic moment (μB/atom): 0.061
V (Å³/atom): 41.90

---

[7]
A relaxed Al2Tl crystal, computed with PBE-GGA.

POSCAR file:
```
Al2Tl
1.0
4.6462 0.0000 0.0000
-2.3231 4.0237 0.0000
0.0000 0.0000 3.7893
Al Tl
2 1
Direct
0.3333 0.6667 0.0000
0.6667 0.3333 0.0000
0.0000 0.0000 0.5000
```

Magnetic moment (μB/atom): 0.000
V (Å³/atom): 23.61
Polymorph energy (0 for the lowest one) (meV per atom): 124

---

[8]
A relaxed LiHf3Re crystal, computed with PBE-GGA.

POSCAR file:
```
LiHf3Re
1.0
4.5278 0.0000 0.0000
0.0000 4.5278 0.0000
0.0000 0.0000 4.5278
Li Hf Re
1 3 1
Direct
0.0000 0.0000 0.0000
0.0000 0.0000 0.5000
0.0000 0.5000 0.0000
0.5000 0.0000 0.0000
0.5000 0.5000 0.5000
```

Magnetic moment (μB/atom): 0.000
V (Å³/atom): 18.57
Polymorph energy (0 for the lowest one) (meV per atom): 431

---

[9]
A relaxed Mg2TlCd2 crystal, computed with PBE-GGA.

POSCAR file:
```
Mg2TlCd2
1.0
-2.0850 2.0850 7.3960
2.0850 -2.0850 7.3960
2.0850 2.0850 -7.3960
Mg Tl Cd
2 1 2
Direct
0.1008 0.1008 0.0000
0.8992 0.8992 0.0000
0.5000 0.5000 0.0000
0.2500 0.7500 0.5000
0.7500 0.2500 0.5000
```

Magnetic moment (μB/atom): 0.000
V (Å³/atom): 25.72
Polymorph energy (0 for the lowest one) (meV per atom): 76

---

[10]
A relaxed AcPmSi2 crystal, computed with PBE-GGA.

POSCAR file:
```
AcPmSi2
1.0
2.2834 -6.8463 0.0000
2.2834 6.8463 0.0000
0.0000 0.0000 6.7051
Ac Pm Si
2 2 4
Direct
0.0496 0.9504 0.7500
0.9504 0.0496 0.2500
0.2280 0.7720 0.2500
0.7720 0.2280 0.7500
0.3914 0.6086 0.5686
0.3914 0.6086 0.9314
0.6086 0.3914 0.0686
0.6086 0.3914 0.4314
```

Energy relative to the elements, uncorrected (eV per atom): -0.65
Magnetic moment (μB/atom): 0.000
V (Å³/atom): 26.21
Polymorph energy (0 for the lowest one) (meV per atom): 0

---

[11]
A relaxed KNaSnSe3 crystal, computed with PBE-GGA.

POSCAR file:
```
KNaSnSe3
1.0
4.6774 -4.2515 0.0000
4.6774 4.2515 0.0000
-1.9595 0.0000 10.4346
K Na Sn Se
2 2 2 6
Direct
0.2008 0.2008 0.1030
0.7992 0.7992 0.8970
0.2132 0.7868 0.5000
0.7868 0.2132 0.5000
0.4177 0.4177 0.7117
0.5823 0.5823 0.2883
0.2173 0.7209 0.2050
0.2640 0.2640 0.4954
0.2791 0.7827 0.7950
0.7209 0.2173 0.2050
0.7360 0.7360 0.5046
0.7827 0.2791 0.7950
```

Energy relative to the elements, uncorrected (eV per atom): -0.70
Magnetic moment (μB/atom): 0.000
V (Å³/atom): 34.58

---

[12]
A relaxed AgPdSe2O8 crystal, computed with PBE-GGA.

POSCAR file:
```
AgPdSe2O8
1.0
2.4863 1.4355 7.8466
-2.4863 1.4355 7.8466
0.0000 -2.8709 7.8466
Ag Pd Se O
1 1 2 8
Direct
0.0000 0.0000 0.0000
0.5000 0.5000 0.5000
0.2442 0.2442 0.2442
0.7558 0.7558 0.7558
0.1039 0.4537 0.7784
0.2216 0.8961 0.5463
0.3146 0.3146 0.3146
0.4537 0.7784 0.1039
0.5463 0.2216 0.8961
0.6854 0.6854 0.6854
0.7784 0.1039 0.4537
0.8961 0.5463 0.2216
```

Energy relative to the elements, uncorrected (eV per atom): -0.36
Magnetic moment (μB/atom): 0.084
V (Å³/atom): 14.00

---

[13]
A relaxed Ho4Tl2Rh crystal, computed with PBE-GGA.

POSCAR file:
```
Ho4Tl2Rh
1.0
6.5263 0.0000 0.0000
0.0000 3.6993 0.0000
-3.1285 0.0000 8.3954
Ho Tl Rh
4 2 1
Direct
0.1201 0.0000 0.2568
0.3334 0.5000 0.6517
0.6666 0.5000 0.3483
0.8799 0.0000 0.7432
0.2619 0.5000 0.9992
0.7381 0.5000 0.0008
0.5000 0.0000 0.5000
```

Final energy (eV/atom): -4.689
Magnetic moment (μB/atom): 0.000
V (Å³/atom): 28.96

---

[14]
A relaxed LiAs2Br8 crystal, computed with PBE-GGA.

POSCAR file:
```
LiAs2Br8
1.0
6.3987 -5.5598 0.0000
6.3987 5.5598 0.0000
-1.0227 0.0000 6.5768
Li As Br
1 2 8
Direct
0.0000 0.0000 0.0000
0.2052 0.2052 0.6981
0.7948 0.7948 0.3019
0.0693 0.7317 0.1952
0.1958 0.1958 0.3246
0.2683 0.9307 0.8048
0.3910 0.3910 0.8808
0.6090 0.6090 0.1192
0.7317 0.0693 0.1952
0.8042 0.8042 0.6754
0.9307 0.2683 0.8048
```

Energy relative to the elements, uncorrected (eV per atom): -0.50
Magnetic moment (μB/atom): 0.000
V (Å³/atom): 42.54

---

[15]
A relaxed CrWCl2 crystal, computed with PBE-GGA.

POSCAR file:
```
CrWCl2
1.0
1.4945 -2.7357 0.0000
1.4945 2.7357 0.0000
0.0000 0.0000 9.6308
Cr W Cl
1 1 2
Direct
0.0000 0.0000 0.0000
0.5000 0.5000 0.2263
0.0000 0.0000 0.4295
0.5000 0.5000 0.8157
```

Energy relative to the elements, uncorrected (eV per atom): 0.13
Magnetic moment (μB/atom): 0.590
V (Å³/atom): 19.69
Polymorph energy (0 for the lowest one) (meV per atom): 292

---

[16]
A relaxed KLi2P crystal, computed with PBE-GGA.

POSCAR file:
```
KLi2P
1.0
2.3430 -2.6459 0.0000
2.3430 2.6459 0.0000
0.0000 0.0000 7.8223
K Li P
1 2 1
Direct
0.0000 0.0000 0.0000
0.5000 0.5000 0.3536
0.5000 0.5000 0.6464
0.0000 0.0000 0.5000
```

Final energy (eV/atom): -2.655
Magnetic moment (μB/atom): 0.000
V (Å³/atom): 24.25

---

[17]
A relaxed Li2ReB crystal, computed with PBE-GGA.

POSCAR file:
```
Li2ReB
1.0
-3.2875 3.2875 2.1313
3.2875 -3.2875 2.1313
3.2875 3.2875 -2.1313
Li Re B
4 2 2
Direct
0.0705 0.1250 0.4455
0.3750 0.9295 0.0545
0.6795 0.6250 0.5545
0.8750 0.3205 0.9455
0.2500 0.7500 0.5000
0.5000 0.5000 0.0000
0.0000 0.0000 0.0000
0.7500 0.2500 0.5000
```

Final energy (eV/atom): -5.066
Magnetic moment (μB/atom): 0.000
V (Å³/atom): 11.52

---

[18]
A relaxed Dy5TlTe2 crystal, computed with PBE-GGA.

POSCAR file:
```
Dy5TlTe2
1.0
3.0248 -6.1650 0.0000
3.0248 6.1650 0.0000
0.0000 0.0000 13.5496
Dy Tl Te
10 2 4
Direct
0.0597 0.9403 0.6115
0.0597 0.9403 0.8885
0.3817 0.6183 0.2500
0.3818 0.6182 0.5534
0.3818 0.6182 0.9466
0.6182 0.3818 0.0534
0.6182 0.3818 0.4466
0.6183 0.3817 0.7500
0.9403 0.0597 0.1115
0.9403 0.0597 0.3885
0.2656 0.7344 0.7500
0.7344 0.2656 0.2500
0.1883 0.8117 0.0925
0.1883 0.8117 0.4075
0.8117 0.1883 0.5925
0.8117 0.1883 0.9075
```

Energy relative to the elements, uncorrected (eV per atom): -0.50
Magnetic moment (μB/atom): 0.000
V (Å³/atom): 31.58

---

[19]
A relaxed PmSm5Ho crystal, computed with PBE-GGA.

POSCAR file:
```
PmSm5Ho
1.0
5.9661 -3.4374 0.0000
5.9661 3.4374 0.0000
-4.3726 0.0000 11.5367
Pm Sm Ho
2 10 2
Direct
0.0000 0.5000 0.0000
0.5000 0.0000 0.5000
0.0798 0.9202 0.2500
0.0839 0.3538 0.2485
0.1568 0.6872 0.4990
0.3128 0.8432 0.0010
0.3538 0.0839 0.7485
0.6462 0.9161 0.2515
0.6872 0.1568 0.9990
0.8432 0.3128 0.5010
0.9161 0.6462 0.7515
0.9202 0.0798 0.7500
0.4746 0.5254 0.7500
0.5254 0.4746 0.2500
```

Magnetic moment (μB/atom): 0.000
V (Å³/atom): 33.80
Polymorph energy (0 for the lowest one) (meV per atom): 0

---

[20]
A relaxed Ac7Sn4C crystal, computed with PBE-GGA.

POSCAR file:
```
Ac7Sn4C
1.0
8.6618 -2.7654 0.0000
8.6618 2.7654 0.0000
-7.1282 0.0000 9.7601
Ac Sn C
7 4 1
Direct
0.0000 0.0000 0.0000
0.1388 0.1388 0.5393
0.2824 0.2824 0.1339
0.4344 0.4344 0.7536
0.5656 0.5656 0.2464
0.7176 0.7176 0.8661
0.8612 0.8612 0.4607
0.0803 0.0803 0.7783
0.2214 0.2214 0.3425
0.7786 0.7786 0.6575
0.9197 0.9197 0.2217
0.5000 0.5000 0.0000
```

Final energy (eV/atom): -4.821
Magnetic moment (μB/atom): 0.000
V (Å³/atom): 38.96